DFT (GGA-PBEsol) results for crystalline CaY2Au at its relaxed geometry.

Summary:
SG: I4/mmm, No. 139

a = 4.532 Å, b = 4.532 Å, c = 5.985 Å
α = 112.25°, β = 112.25°, γ = 90.00°
Sites, in units of the cell vectors:
Y 0.750 0.250 0.500
Y 0.250 0.750 0.500
Au 0.500 0.500 0.000
Ca 0.000 0.000 0.000

=====

DFT (GGA-PBEsol) results for crystalline CaYAu2 at its relaxed geometry.

Summary:
SG: P4mm, No. 99

a = 4.091 Å, b = 4.091 Å, c = 5.937 Å
α = 90.00°, β = 90.00°, γ = 90.00°
Sites, in units of the cell vectors:
Ca 0.000 0.000 0.413
Y 0.500 0.500 0.836
Au 0.000 0.000 0.918
Au 0.500 0.500 0.333

=====

DFT (GGA-PBEsol) results for crystalline CaYAu2 at its relaxed geometry.

Summary:
SG: Amm2, No. 38

a = 3.753 Å, b = 4.637 Å, c = 5.697 Å
α = 90.00°, β = 109.23°, γ = 90.00°
Sites, in units of the cell vectors:
Ca 0.515 0.500 0.030
Au 0.789 0.500 0.578
Au 0.958 0.000 0.916
Y 0.238 0.000 0.476

=====

DFT (GGA-PBEsol) results for crystalline CaY2Au2 at its relaxed geometry.

Summary:
SG: P4/mbm, No. 127

a = 3.735 Å, b = 8.150 Å, c = 8.150 Å
α = 90.00°, β = 90.00°, γ = 90.00°
Sites, in units of the cell vectors:
Ca 0.000 0.500 0.500
Ca 0.000 0.000 0.000
Y 0.500 0.156 0.656
Y 0.500 0.844 0.344
Y 0.500 0.344 0.156
Y 0.500 0.656 0.844
Au 0.000 0.364 0.864
Au 0.000 0.864 0.636
Au 0.000 0.636 0.136
Au 0.000 0.136 0.364

=====

DFT (GGA-PBEsol) results for crystalline CaYAu2 at its relaxed geometry.

Summary:
SG: P4/mmm, No. 123

a = 3.497 Å, b = 5.043 Å, c = 5.043 Å
α = 90.00°, β = 90.00°, γ = 90.00°
Sites, in units of the cell vectors:
Y 0.500 0.500 0.500
Au 0.000 0.000 0.500
Au 0.000 0.500 0.000
Ca 0.500 0.000 0.000

=====

DFT (GGA-PBEsol) results for crystalline Ca3YAu at its relaxed geometry.

Summary:
SG: Pm-3m, No. 221

a = 5.819 Å, b = 5.819 Å, c = 5.819 Å
α = 90.00°, β = 90.00°, γ = 90.00°
Last column: magnetic moment on the atom in μB.
Sites, in units of the cell vectors:
Ca 0.500 0.000 0.000  0.20
Ca 0.000 0.000 0.500  0.20
Ca 0.000 0.500 0.000  0.20
Y 0.000 0.000 0.000  1.24
Au 0.500 0.500 0.500  0.02

=====

DFT (GGA-PBEsol) results for crystalline Ca2Zn3Au9 at its relaxed geometry.

Summary:
SG: C222, No. 21

a = 5.251 Å, b = 5.565 Å, c = 9.804 Å
α = 90.00°, β = 90.00°, γ = 118.15°
Sites, in units of the cell vectors:
Ca 0.500 0.500 0.756
Ca 0.000 0.500 0.244
Au 0.500 0.000 0.000
Au 0.802 0.101 0.742
Au 0.198 0.899 0.742
Au 0.500 0.500 0.058
Au 0.000 0.500 0.544
Au 0.000 0.500 0.942
Au 0.702 0.899 0.258
Au 0.298 0.101 0.258
Au 0.500 0.500 0.456
Zn 0.500 0.000 0.500
Zn 0.000 0.000 0.000
Zn 0.000 0.000 0.500

=====

DFT (GGA-PBEsol) results for crystalline Ca2ZnAu2 at its relaxed geometry.

Summary:
SG: P4/mbm, No. 127

a = 4.141 Å, b = 7.377 Å, c = 7.377 Å
α = 90.00°, β = 90.00°, γ = 90.00°
Sites, in units of the cell vectors:
Ca 0.500 0.670 0.830
Ca 0.500 0.170 0.670
Ca 0.500 0.830 0.330
Ca 0.500 0.330 0.170
Au 0.000 0.636 0.136
Au 0.000 0.136 0.364
Au 0.000 0.364 0.864
Au 0.000 0.864 0.636
Zn 0.000 0.500 0.500
Zn 0.000 0.000 0.000

=====

Values of DFT formation energy, in order: -0.131, -0.668, -0.816, -0.709, -0.809, 1.067, -0.445, -0.583, all in eV per atom.
Values of calculated density, in order: 6.63, 8.74, 9.27, 8.19, 9.76, 3.42, 13.47, 7.95, all in g/cm³.
Values of DFT total energy, in order: -5.06, -4.87, -5.02, -5.43, -5.01, -2.36, -3.61, -3.32, all in eV per atom.